Density functional theory data (PBE) for an optimized crystal structure of RbCdIn2Br8.

The crystal system is tetragonal.

The structure belongs to space group I-4m2 (No. 119); the cell edges are 10.5173, 10.5173 and 8.8907 Å and the angles 90.00°, 90.00° and 90.00°. Symmetry generates all atoms from Rb at (0.0000, 0.0000, 0.0000), Cd at (0.0000, 0.5000, 0.7500), In at (0.0000, 0.0000, 0.5000), In at (0.0000, 0.5000, 0.2500), Br at (0.0000, 0.2002, 0.6707) and Br at (0.0000, 0.3198, 0.0595).



Density functional theory data (PBE) for an optimized crystal structure of AcThZnAg.

For the energy relative to the elements, the calculation gives -94 meV/atom. The crystal system is cubic.

The structure belongs to space group F-43m (No. 216); the cell edges are 7.6338, 7.6338 and 7.6338 Å and the angles 90.00°, 90.00° and 90.00°. Symmetry generates all atoms from Ac at (0.0000, 0.0000, 0.0000), Th at (0.0000, 0.0000, 0.5000), Zn at (0.2500, 0.2500, 0.2500) and Ag at (0.2500, 0.2500, 0.7500).



Density functional theory data (PBE) for an optimized crystal structure of HfCu2PdRh.

For the energy relative to the elements, the calculation gives 1376 meV/atom. The crystal system is tetragonal.

The structure belongs to space group P4/mmm (No. 123); the cell edges are 4.7060, 4.7060 and 4.7251 Å and the angles 90.00°, 90.00° and 90.00°. Symmetry generates all atoms from Hf at (0.0000, 0.0000, 0.0000), Cu at (0.0000, 0.5000, 0.0000), Pd at (0.0000, 0.0000, 0.5000) and Rh at (0.5000, 0.5000, 0.5000).



Density functional theory data (PBE) for an optimized crystal structure of La3BiN.

The crystal system is trigonal.

The structure belongs to space group R3m (No. 160, hexagonal axes); the cell edges are 9.5343, 9.5343 and 8.4417 Å and the angles 90.00°, 90.00° and 120.00°. Symmetry generates all atoms from La at (0.2066, 0.4131, 0.0000), Bi at (0.0000, 0.0000, 0.0008) and N at (0.0000, 0.0000, 0.4202).



Density functional theory data (PBE) for an optimized crystal structure of Mg7Sn2Rh2.

For the energy relative to the elements, the calculation gives -305 meV/atom. The crystal system is orthorhombic.

The structure belongs to space group Immm (No. 71); the cell edges are 4.4998, 8.9941 and 10.8768 Å and the angles 90.00°, 90.00° and 90.00°. Symmetry generates all atoms from Mg at (0.0000, 0.0000, 0.0000), Mg at (0.0000, 0.2708, 0.1416), Mg at (0.0000, 0.5000, 0.3438), Sn at (0.0000, 0.0000, 0.3546) and Rh at (0.0000, 0.2614, 0.5000).



Density functional theory data (PBE) for an optimized crystal structure of UP2Ir2Os.

For the energy relative to the elements, the calculation gives -477 meV/atom. The crystal system is orthorhombic.

The structure belongs to space group Pmc2_1 (No. 26); the cell edges are 3.8666, 6.7010 and 7.4413 Å and the angles 90.00°, 90.00° and 90.00°. Symmetry generates all atoms from U at (0.0000, 0.1378, 0.0000), P at (0.0000, 0.3568, 0.2883), P at (0.5000, 0.1335, 0.6977), Ir at (0.0000, 0.3583, 0.5989), Ir at (0.5000, 0.4286, 0.8711) and Os at (0.5000, 0.1537, 0.3745).



Density functional theory data (PBE) for an optimized crystal structure of Sm2HoSc3.

For the energy relative to the elements, the calculation gives 210 meV/atom. The calculation puts the energy above the lowest structure with this stoichiometry at 0.77 eV/f.u. The crystal system is monoclinic.

The structure belongs to space group C2/c (No. 15); the cell edges are 9.7756, 11.0188 and 6.9674 Å and the angles 90.00°, 112.81° and 90.00°. Symmetry generates all atoms from Sm at (0.1738, 0.2343, 0.2362), Ho at (0.0000, 0.5000, 0.0000), Sc at (0.0000, 0.2122, 0.7500) and Sc at (0.1649, 0.0156, 0.5271).



Density functional theory data (PBE) for an optimized crystal structure of TaSb2AsI.

The calculation puts the energy above the lowest structure with this stoichiometry at 3.00 eV/f.u. The crystal system is tetragonal.

The structure belongs to space group P4/mmm (No. 123); the cell edges are 5.2912, 5.2912 and 5.3228 Å and the angles 90.00°, 90.00° and 90.00°. Symmetry generates all atoms from Ta at (0.0000, 0.0000, 0.0000), Sb at (0.0000, 0.5000, 0.5000), As at (0.5000, 0.5000, 0.5000) and I at (0.5000, 0.5000, 0.0000).



| no. | calculated density (g/cm³) | VASP energy (eV/atom) |
| --- | --- | --- |
| 1 | 3.6 | -2.590 |
| 2 | 9.4 | -4.008 |
| 3 | 8.2 | -4.762 |
| 4 | 4.8 | -5.714 |
| 5 | 4.6 | -3.384 |
| 6 | 15.1 | -8.987 |
| 7 | 5.8 | -5.292 |
| 8 | 7.0 | -3.912 |